{
  "formula": "ReSiCl3",
  "functional": "PBE",
  "state": "optimized geometry",
  "vol_a3_per_cell": 114,
  "final_energy_ha_per_atom": -0.146,
  "sg": "Pm-3m, No. 221",
  "de_polymorph_kcal_per_mol_atoms": 0.00,
  "raw_formation_energy_mev_per_atom": 710,
  "m_tot_mub_per_cell": 3.40,
  "lattice_angstrom": [[-3.182, -3.330, -1.509], [0.114, -2.090, 4.371], [-3.654, 2.834, 1.450]],
  "species": ["Re", "Cl", "Cl", "Cl", "Si"],
  "fractional_positions": [[0.000, 0.000, 0.000], [0.000, 0.500, 0.000], [0.000, 0.000, 0.500], [0.500, 0.000, 0.000], [0.500, 0.500, 0.500]]
}


{
  "formula": "NaTl7Sb4",
  "functional": "PBE",
  "state": "optimized geometry",
  "vol_a3_per_cell": 373,
  "final_energy_ha_per_atom": -0.106,
  "sg": "P-1, No. 2",
  "raw_formation_energy_mev_per_atom": -23,
  "m_tot_mub_per_cell": 0.00,
  "lattice_angstrom": [[7.131, 0.329, 0.150], [2.979, 9.883, -0.510], [-2.362, -2.228, 5.447]],
  "species": ["Na", "Tl", "Tl", "Tl", "Tl", "Tl", "Tl", "Tl", "Sb", "Sb", "Sb", "Sb"],
  "fractional_positions": [[0.000, 0.000, 0.000], [0.926, 0.831, 0.312], [0.333, 0.666, 0.669], [0.245, 0.497, 0.989], [0.500, 0.000, 0.000], [0.074, 0.169, 0.688], [0.667, 0.334, 0.331], [0.755, 0.503, 0.011], [0.443, 0.844, 0.355], [0.557, 0.156, 0.645], [0.800, 0.685, 0.620], [0.200, 0.315, 0.380]]
}


{
  "formula": "Na3As3Pt",
  "functional": "PBE",
  "state": "optimized geometry",
  "vol_a3_per_cell": 305,
  "final_energy_ha_per_atom": -0.141,
  "ef_kcal_per_mol_atoms": -9.76,
  "sg": "C2/m, No. 12",
  "m_tot_mub_per_cell": 0.00,
  "lattice_angstrom": [[4.402, 0.000, 0.663], [2.180, 5.292, 0.471], [0.273, -0.074, 13.129]],
  "species": ["As", "As", "As", "As", "As", "As", "Pt", "Pt", "Na", "Na", "Na", "Na", "Na", "Na"],
  "fractional_positions": [[0.045, 0.142, 0.768], [0.890, 0.143, 0.076], [0.110, 0.857, 0.924], [0.955, 0.858, 0.232], [0.863, 0.737, 0.536], [0.137, 0.263, 0.464], [0.250, 0.895, 0.605], [0.750, 0.105, 0.395], [0.474, 0.679, 0.372], [0.399, 0.280, 0.921], [0.250, 0.273, 0.228], [0.750, 0.727, 0.772], [0.526, 0.321, 0.628], [0.601, 0.720, 0.079]]
}


{
  "formula": "La4SbRu2",
  "functional": "PBE",
  "state": "optimized geometry",
  "vol_a3_per_cell": 419,
  "final_energy_ha_per_atom": -0.239,
  "sg": "Cc, No. 9",
  "raw_formation_energy_mev_per_atom": -451,
  "m_tot_mub_per_cell": 0.00,
  "lattice_angstrom": [[8.123, -1.288, -0.206], [-1.872, 8.008, 0.134], [-3.040, -3.512, 6.722]],
  "species": ["Ru", "Ru", "Ru", "Ru", "La", "La", "La", "La", "La", "La", "La", "La", "Sb", "Sb"],
  "fractional_positions": [[0.613, 0.503, 0.264], [0.517, 0.804, 0.152], [0.054, 0.267, 0.652], [0.753, 0.363, 0.764], [0.877, 0.229, 0.316], [0.886, 0.722, 0.224], [0.427, 0.185, 0.923], [0.479, 0.627, 0.816], [0.972, 0.636, 0.724], [0.205, 0.488, 0.091], [0.435, 0.177, 0.423], [0.738, 0.955, 0.591], [0.018, 0.026, 0.029], [0.276, 0.768, 0.529]]
}